Arrangement 1

# Sm3Y2Th

A geometry-optimized Sm3Y2Th structure (PBE-GGA, the Alexandria database).

```
Sm3Y2Th
1.0
-2.5497 5.1038 7.6397
2.5497 -5.1038 7.6397
2.5497 5.1038 -7.6397
Sm Y Th
6 4 2
Direct
0.0000 0.0000 0.0000
0.1734 0.6678 0.5056
0.3378 0.3322 0.0056
0.5000 0.0000 0.5000
0.6622 0.6678 0.9944
0.8266 0.3322 0.4944
0.0838 0.8338 0.2500
0.2521 0.5021 0.7500
0.7479 0.4979 0.2500
0.9162 0.1662 0.7500
0.4188 0.1688 0.2500
0.5812 0.8312 0.7500
```

***

Arrangement 2

# Sm3Y2Th

A geometry-optimized Sm3Y2Th structure (PBE-GGA, the Alexandria database).

```
Sm3Y2Th
1.0
-5.5923 6.0116 3.4334
5.5923 -6.0116 3.4334
5.5923 6.0116 -3.4334
Sm Y Th
6 4 2
Direct
0.0174 0.7500 0.2674
0.2500 0.2500 0.0000
0.4826 0.7500 0.7326
0.5174 0.2500 0.2674
0.7500 0.7500 0.0000
0.9826 0.2500 0.7326
0.1888 0.2429 0.4317
0.3112 0.7429 0.0541
0.6888 0.2571 0.9459
0.8112 0.7571 0.5683
0.0000 0.5000 0.5000
0.5000 0.0000 0.5000
```

***

It is arrangement 1 that is most stable; the runner-up trails by 565 meV/atom.